[1]
DFT (GGA-PBEsol) results for crystalline Mg2CdCu at its relaxed geometry. Values from VASP.

Computed properties:
D(E_F): 0.223 states/eV per atom
crystal system: cubic
formation enthalpy at 0 K: -0.04 eV per formula unit

```
&SYSTEM
  ibrav = 0, nat = 4, ntyp = 3
/
ATOMIC_SPECIES
Cd 112.41 Cd.upf
Cu 63.55 Cu.upf
Mg 24.30 Mg.upf
CELL_PARAMETERS angstrom
-0.4545 4.1444 -1.9583
-3.6969 2.5892 0.9202
0.4346 3.8119 2.5491
ATOMIC_POSITIONS crystal
Cd 0.5000 0.5000 0.5000
Cu 0.2500 0.2500 0.2500
Mg 0.0000 0.0000 0.0000
Mg 0.7500 0.7500 0.7500
```

[2]
DFT (GGA-PBEsol) results for crystalline Mg2CdCu at its relaxed geometry. Values from VASP.

Computed properties:
D(E_F): 0.290 states/eV per atom
crystal system: monoclinic
formation enthalpy at 0 K: -0.16 eV per formula unit

```
&SYSTEM
  ibrav = 0, nat = 4, ntyp = 3
/
ATOMIC_SPECIES
Mg 24.30 Mg.upf
Cu 63.55 Cu.upf
Cd 112.41 Cd.upf
CELL_PARAMETERS angstrom
-2.7062 0.7199 1.2541
0.2762 -3.5532 2.6360
3.8890 2.5649 3.0499
ATOMIC_POSITIONS crystal
Mg 0.0408 0.0000 0.9501
Mg 0.7030 0.5000 0.2861
Cu 0.4485 0.5000 0.7701
Cd 0.3078 0.0000 0.4937
```

[3]
DFT (GGA-PBEsol) results for crystalline Mg2CdCu at its relaxed geometry. Values from VASP.

Computed properties:
D(E_F): 0.286 states/eV per atom
crystal system: monoclinic
formation enthalpy at 0 K: -0.21 eV per formula unit

```
&SYSTEM
  ibrav = 0, nat = 4, ntyp = 3
/
ATOMIC_SPECIES
Mg 24.30 Mg.upf
Cu 63.55 Cu.upf
Cd 112.41 Cd.upf
CELL_PARAMETERS angstrom
4.6114 0.0000 0.0000
0.0000 4.6103 -0.0464
-2.3057 -2.2636 3.3286
ATOMIC_POSITIONS crystal
Mg 0.7499 0.7502 0.4998
Mg 0.2501 0.2498 0.5002
Cu 0.5000 0.0000 0.0000
Cd 0.0000 0.5000 0.0000
```

[4]
DFT (GGA-PBEsol) results for crystalline MgCdCu4 at its relaxed geometry. Values from VASP.

Computed properties:
D(E_F): 0.359 states/eV per atom
crystal system: cubic
formation enthalpy at 0 K: -0.53 eV per formula unit

```
&SYSTEM
  ibrav = 0, nat = 6, ntyp = 3
/
ATOMIC_SPECIES
Cd 112.41 Cd.upf
Cu 63.55 Cu.upf
Mg 24.30 Mg.upf
CELL_PARAMETERS angstrom
4.8970 0.0000 0.0000
2.4485 4.2409 0.0000
2.4485 1.4136 3.9984
ATOMIC_POSITIONS crystal
Cd 0.0000 0.0000 0.0000
Cu 0.3752 0.3752 0.3752
Cu 0.3752 0.3752 0.8745
Cu 0.8745 0.3752 0.3752
Cu 0.3752 0.8745 0.3752
Mg 0.7500 0.7500 0.7500
```

[5]
DFT (GGA-PBEsol) results for crystalline MnCd2Cu at its relaxed geometry. Values from VASP.

Computed properties:
D(E_F): 0.651 states/eV per atom
polymorph energy (0 for the lowest one): 28 meV per atom
crystal system: tetragonal
formation enthalpy at 0 K: 1.04 eV per formula unit

```
&SYSTEM
  ibrav = 0, nat = 4, ntyp = 3
/
ATOMIC_SPECIES
Cd 112.41 Cd.upf
Cu 63.55 Cu.upf
Mn 54.94 Mn.upf
CELL_PARAMETERS angstrom
3.3735 0.0000 0.0000
0.0000 4.3656 0.2226
0.0000 -0.2204 4.3657
ATOMIC_POSITIONS crystal
Cd 0.0000 0.5000 0.0000
Cd 0.0000 0.0000 0.5000
Cu 0.5000 0.0000 0.0000
Mn 0.5000 0.5000 0.5000
```

[6]
DFT (GGA-PBEsol) results for crystalline MnCdCu at its relaxed geometry. Values from VASP.

Computed properties:
D(E_F): 0.993 states/eV per atom
crystal system: cubic
formation enthalpy at 0 K: 1.58 eV per formula unit

```
&SYSTEM
  ibrav = 0, nat = 3, ntyp = 3
/
ATOMIC_SPECIES
Cd 112.41 Cd.upf
Cu 63.55 Cu.upf
Mn 54.94 Mn.upf
CELL_PARAMETERS angstrom
4.1899 0.0000 0.0000
2.0950 3.6286 0.0000
2.0950 1.2095 3.4211
ATOMIC_POSITIONS crystal
Cd 0.5000 0.5000 0.5000
Cu 0.2500 0.2500 0.2500
Mn 0.0000 0.0000 0.0000
```